No. 1
Density functional theory data (SCAN) for As2PbSe at its PBEsol-relaxed geometry.

It has space group I4/mmm (No. 139), with a = 4.074 Å, b = 4.074 Å, c = 10.953 Å, α = 90.00°, β = 90.00° and γ = 90.00°. The inequivalent atoms are As at (0.000, 0.500, 0.250), Pb at (0.000, 0.000, 0.000) and Se at (0.000, 0.000, 0.500).

No. 2
Density functional theory data (SCAN) for As2PbSe at its PBEsol-relaxed geometry.

It has space group P4/mmm (No. 123), with a = 4.015 Å, b = 4.015 Å, c = 5.727 Å, α = 90.00°, β = 90.00° and γ = 90.00°. The inequivalent atoms are As at (0.000, 0.500, 0.000), Pb at (0.000, 0.000, 0.500) and Se at (0.500, 0.500, 0.500).

No. 3
Density functional theory data (SCAN) for AsPbSe at its PBEsol-relaxed geometry.

It has space group P3m1 (No. 156), with a = 4.1054 Å, b = 4.1054 Å, c = 5.0222 Å, α = 90.00°, β = 90.00° and γ = 120.00°. The inequivalent atoms are As at (0.0000, 0.0000, 0.0000), Pb at (0.3333, 0.6667, 0.6636) and Se at (0.6667, 0.3333, 0.3043).

No. 4
Density functional theory data (SCAN) for As2PbSe at its PBEsol-relaxed geometry.

It has space group P4mm (No. 99), with a = 4.072 Å, b = 4.072 Å, c = 5.893 Å, α = 90.00°, β = 90.00° and γ = 90.00°. The inequivalent atoms are As at (0.000, 0.000, 0.000), As at (0.500, 0.500, 0.025), Pb at (0.500, 0.500, 0.505) and Se at (0.000, 0.000, 0.576).

No. 5
Density functional theory data (SCAN) for TaAsPbSe2 at its PBEsol-relaxed geometry.

It has space group P4/mmm (No. 123), with a = 5.180 Å, b = 5.180 Å, c = 5.162 Å, α = 90.00°, β = 90.00° and γ = 90.00°. The inequivalent atoms are Ta at (0.000, 0.000, 0.000), As at (0.500, 0.500, 0.000), Pb at (0.500, 0.500, 0.500) and Se at (0.000, 0.500, 0.500).

No. 6
Density functional theory data (SCAN) for TeAsPbSe2 at its PBEsol-relaxed geometry.

It has space group P4/mmm (No. 123), with a = 5.256 Å, b = 5.256 Å, c = 5.272 Å, α = 90.00°, β = 90.00° and γ = 90.00°. The inequivalent atoms are Te at (0.000, 0.000, 0.000), As at (0.000, 0.000, 0.500), Pb at (0.500, 0.500, 0.500) and Se at (0.000, 0.500, 0.000).

No. 7
Density functional theory data (SCAN) for SiAsPb2 at its PBEsol-relaxed geometry.

It has space group Cm (No. 8), with a = 11.337 Å, b = 3.549 Å, c = 5.332 Å, α = 90.00°, β = 117.87° and γ = 90.00°. The inequivalent atoms are Si at (0.000, 0.000, 0.000), As at (0.167, 0.500, 0.170), Pb at (0.242, 0.000, 0.745) and Pb at (0.452, 0.000, 0.453).

No. 8
Density functional theory data (SCAN) for SiAs2Pb at its PBEsol-relaxed geometry.

It has space group P4mm (No. 99), with a = 3.794 Å, b = 3.794 Å, c = 6.326 Å, α = 90.00°, β = 90.00° and γ = 90.00°. The inequivalent atoms are Si at (0.000, 0.000, 0.000), As at (0.000, 0.000, 0.623), As at (0.500, 0.500, 0.041) and Pb at (0.500, 0.500, 0.482).

| no. | formation energy without anion corrections (eV/atom) |
| --- | --- |
| 1 | 0.35 |
| 2 | 0.35 |
| 3 | 0.10 |
| 4 | -0.01 |
| 5 | 1.50 |
| 6 | 0.40 |
| 7 | 0.28 |
| 8 | 0.22 |